The following is a DFT calculation (GGA+U) of a relaxed HfNpNiO6 crystal.

Cell lengths 5.4778, 5.4778, 8.8549 Å; angles 90.00, 90.00, 120.00 degrees
Last column: magnetic moment on the atom in μB.
Atoms (fractional coordinates):
O (0.3435, 0.3414, 0.3688)  -0.02
O (0.3435, 0.0021, 0.1312)  -0.02
O (0.6586, 0.0021, 0.3688)  -0.02
O (0.6586, 0.6565, 0.1312)  -0.02
O (0.9979, 0.3414, 0.1312)  -0.02
O (0.0021, 0.6586, 0.8688)  -0.02
O (0.3414, 0.9979, 0.6312)  -0.02
O (0.6565, 0.6586, 0.6312)  -0.02
O (0.6565, 0.9979, 0.8688)  -0.02
O (0.3414, 0.3435, 0.8688)  -0.02
O (0.0021, 0.3435, 0.6312)  -0.02
O (0.9979, 0.6565, 0.3688)  -0.02
Np (0.6667, 0.3333, 0.2500)  1.26
Np (0.3333, 0.6667, 0.7500)  1.26
Ni (0.0000, 0.0000, 0.5000)  1.80
Ni (0.0000, 0.0000, 0.0000)  1.80
Hf (0.6667, 0.3333, 0.7500)  0.01
Hf (0.3333, 0.6667, 0.2500)  0.01

Calculated values
* total magnetization: 0.333 μB/atom
* VASP energy: -8.630 eV/atom
* DOS at the Fermi energy: 0.064 states/eV/atom